Record 1
Entry from Alexandria via LeMat-Bulk: a relaxed structure of Pm6GeN4 (PBE).

Lattice parameters (Å, degrees): 3.705 12.176 19.102 90.00 90.00 90.00
Space group Cmcm (No. 63)
Inequivalent atoms, fractional coordinates:
Pm 0.000 0.000 0.000 x4
Pm 0.000 0.150 0.250 x4
Pm 0.000 0.277 0.578 x8
Pm 0.000 0.459 0.149 x8
Ge 0.000 0.164 0.750 x4
N 0.000 0.087 0.122 x8
N 0.000 0.361 0.039 x8

***

Record 2
Entry from Alexandria via LeMat-Bulk: a relaxed structure of Co3PtI (PBE).

Relative energy among the computed polymorphs (eV per atom): 0.000

Lattice parameters (Å, degrees): 4.725 4.725 4.725 90.00 90.00 90.00
Space group Pm-3m (No. 221)
Inequivalent atoms, fractional coordinates:
Co 0.000 0.000 0.500 x3
Pt 0.000 0.000 0.000 x1
I 0.500 0.500 0.500 x1

***

Record 3
Entry from Alexandria via LeMat-Bulk: a relaxed structure of GaAgBi2H (PBE).

Lattice parameters (Å, degrees): 5.785 5.785 3.317 90.00 90.00 90.00
Space group P4/mmm (No. 123)
Inequivalent atoms, fractional coordinates:
Ga 0.000 0.000 0.000 x1
Ag 0.500 0.500 0.500 x1
Bi 0.000 0.500 0.000 x2
H 0.000 0.000 0.500 x1

***

Record 4
Entry from Alexandria via LeMat-Bulk: a relaxed structure of CaLaCuBi (PBE).

Energy of formation from the pure elements (eV per atom): -0.4301

Lattice parameters (Å, degrees): 7.673 7.673 7.673 90.00 90.00 90.00
Space group F-43m (No. 216)
Inequivalent atoms, fractional coordinates:
Ca 0.000 0.000 0.000 x4
La 0.000 0.000 0.500 x4
Cu 0.250 0.250 0.250 x4
Bi 0.250 0.250 0.750 x4

***

Record 5
Entry from Alexandria via LeMat-Bulk: a relaxed structure of AcAl2Pd (PBE).

Relative energy among the computed polymorphs (eV per atom): 0.254
Energy of formation from the pure elements (eV per atom): -0.4341

Lattice parameters (Å, degrees): 3.352 3.352 7.624 90.00 90.00 90.00
Space group P4/mmm (No. 123)
Inequivalent atoms, fractional coordinates:
Ac 0.000 0.000 0.000 x1
Al 0.500 0.500 0.320 x2
Pd 0.000 0.000 0.500 x1

***

Record 6
Entry from Alexandria via LeMat-Bulk: a relaxed structure of TaInIr2I (PBE).

Lattice parameters (Å, degrees): 4.881 4.881 5.594 90.00 90.00 90.00
Space group P4/mmm (No. 123)
Inequivalent atoms, fractional coordinates:
Ta 0.000 0.000 0.000 x1
In 0.500 0.500 0.500 x1
Ir 0.000 0.500 0.000 x2
I 0.000 0.000 0.500 x1

***

Record 7
Entry from Alexandria via LeMat-Bulk: a relaxed structure of HgBiTe2 (PBE).

Relative energy among the computed polymorphs (eV per atom): 0.038

Lattice parameters (Å, degrees): 4.4131 4.4131 23.5906 90.00 90.00 120.00
Space group R3m (No. 160, hexagonal axes)
Inequivalent atoms, fractional coordinates:
Hg 0.0000 0.0000 0.0000 x3
Bi 0.0000 0.0000 0.8303 x3
Te 0.0000 0.0000 0.2448 x3
Te 0.0000 0.0000 0.4176 x3

***

Record 8
Entry from Alexandria via LeMat-Bulk: a relaxed structure of Pu2CN4 (PBE).

Lattice parameters (Å, degrees): 3.666 3.666 14.990 90.00 90.00 90.00
Space group I4/mmm (No. 139)
Inequivalent atoms, fractional coordinates:
Pu 0.000 0.000 0.169 x4
C 0.000 0.000 0.500 x2
N 0.000 0.000 0.417 x4
N 0.000 0.500 0.250 x4

***

Record 9
Entry from Alexandria via LeMat-Bulk: a relaxed structure of Na4Hg2Pd (PBE).

Energy of formation from the pure elements (eV per atom): -0.1838

Lattice parameters (Å, degrees): 6.189 7.513 9.242 90.33 109.22 113.97
Space group P-1 (No. 2)
Inequivalent atoms, fractional coordinates:
Na 0.187 0.227 0.149 x2
Na 0.194 0.748 0.625 x2
Na 0.257 0.247 0.761 x2
Na 0.299 0.808 0.291 x2
Hg 0.220 0.568 0.942 x2
Hg 0.500 0.000 0.000 x1
Hg 0.500 0.500 0.500 x1
Pd 0.203 0.102 0.456 x2

***

Record 10
Entry from Alexandria via LeMat-Bulk: a relaxed structure of NaSrMgZn2 (PBE).

Relative energy among the computed polymorphs (eV per atom): 0.176
Energy of formation from the pure elements (eV per atom): 0.5329

Lattice parameters (Å, degrees): 5.273 5.273 6.009 90.00 90.00 90.00
Space group P4/mmm (No. 123)
Inequivalent atoms, fractional coordinates:
Na 0.000 0.000 0.000 x1
Sr 0.000 0.000 0.500 x1
Mg 0.500 0.500 0.500 x1
Zn 0.000 0.500 0.000 x2

***

Record 11
Entry from Alexandria via LeMat-Bulk: a relaxed structure of CeNd3Al8 (PBE).

Relative energy among the computed polymorphs (eV per atom): 0.000
Energy of formation from the pure elements (eV per atom): -0.4829

Lattice parameters (Å, degrees): 5.6739 5.6739 27.7659 90.00 90.00 120.00
Space group R3m (No. 160, hexagonal axes)
Inequivalent atoms, fractional coordinates:
Ce 0.0000 0.0000 0.0000 x3
Nd 0.0000 0.0000 0.1240 x3
Nd 0.0000 0.0000 0.4995 x3
Nd 0.0000 0.0000 0.6258 x3
Al 0.0000 0.0000 0.3124 x3
Al 0.0000 0.0000 0.8126 x3
Al 0.0006 0.5003 0.0622 x9
Al 0.0013 0.5007 0.5624 x9

***

Record 12
Entry from Alexandria via LeMat-Bulk: a relaxed structure of Ho2GeO (PBE).

Relative energy among the computed polymorphs (eV per atom): 0.000

Lattice parameters (Å, degrees): 4.355 4.375 8.458 90.00 90.00 90.00
Space group Pmmn (No. 59, origin choice 2)
Inequivalent atoms, fractional coordinates:
Ho 0.250 0.250 0.002 x2
Ho 0.250 0.750 0.347 x2
Ge 0.250 0.750 0.702 x2
O 0.250 0.750 0.080 x2

***

no.,magnetization (μB per atom),raw total energy (eV per atom)
1,0.07,-7.26
2,1.28,-4.64
3,0.00,-3.21
4,0.00,-4.16
5,0.00,-4.63
6,0.00,-5.74
7,0.00,-2.72
8,1.14,-10.92
9,0.00,-1.77
10,0.00,-0.90
11,0.05,-4.66
12,0.00,-6.59